An optimized crystal structure of Rb2WClF6. Source: Alexandria, functional PBE+U.

Results
total magnetization: 1.12 μB/cell
crystal system: triclinic
energy relative to the lowest polymorph listed for this composition: 0 meV/atom
SG: P1, No. 1
calculated volume: 23.29 Å³ per atom
theoretical density: 3.60 Mg/m³

Lattice parameters (Å, degrees): 5.750 5.800 7.917 71.23 69.55 78.04
Sites, in units of the cell vectors:
Rb 0.000 0.000 0.000
Rb 0.432 0.468 0.367
W 0.746 0.699 0.682
Cl 0.385 0.077 0.181
F 0.010 0.880 0.646
F 0.480 0.521 0.719
F 0.511 0.996 0.675
F 0.688 0.640 0.951
F 0.827 0.740 0.413
F 0.984 0.401 0.687